Record 1
First-principles (PBE) data for an optimized crystal structure of Sn3GeSb, as listed in Alexandria via LeMat-Bulk. Values from VASP.

## Properties
For the formation energy from raw total energies, the calculation gives 0.85 eV/atom. As for the calculated volume: 185.0 Å³/cell. The value obtained for the density of states at the Fermi level is 4.48 states/eV per cell.

Cell and atoms, written as Quantum ESPRESSO input:
```
&SYSTEM
  ibrav = 0, nat = 5, ntyp = 3
/
ATOMIC_SPECIES
Sn 118.71 Sn.upf
Ge 72.64 Ge.upf
Sb 121.76 Sb.upf
CELL_PARAMETERS angstrom
5.698 0.000 0.000
0.000 5.698 0.000
0.000 0.000 5.698
ATOMIC_POSITIONS angstrom
Sn 0.000 0.000 2.849
Sn 0.000 2.849 0.000
Sn 2.849 0.000 0.000
Ge 2.849 2.849 2.849
Sb 0.000 0.000 0.000
```



Record 2
First-principles (PBE) data for an optimized crystal structure of Tb2PaSn, as listed in Alexandria via LeMat-Bulk. Values from VASP.

## Properties
As for the calculated volume: 108.1 Å³/cell. The value obtained for the density of states at the Fermi level is 4.51 states/eV per cell. Its energy relative to the elements is -0.16 eV/atom.

Cell and atoms, written as Quantum ESPRESSO input:
```
&SYSTEM
  ibrav = 0, nat = 4, ntyp = 3
/
ATOMIC_SPECIES
Tb 158.93 Tb.upf
Pa 231.04 Pa.upf
Sn 118.71 Sn.upf
CELL_PARAMETERS angstrom
3.851 0.000 0.000
0.000 3.851 0.000
0.000 0.000 7.285
ATOMIC_POSITIONS angstrom
Tb 0.000 0.000 1.691
Tb 0.000 0.000 5.593
Pa 1.926 1.926 3.642
Sn 1.926 1.926 0.000
```